Here is an optimized crystal structure of ZrSc2In from Alexandria via LeMat-Bulk. Energies are from PBEsol.

Its uncorrected energy is -52.7 eV for the cell shown. The value obtained for the spin magnetization is 0.019 Bohr magnetons per cell. Its volume is 173.4 Å³ per cell. The value obtained for the formation energy is -0.269 eV per atom.

It has space group I-4m2 (No. 119), with a = 4.3270 Å, b = 4.3270 Å, c = 9.2634 Å, α = 90.00°, β = 90.00° and γ = 90.00°. The inequivalent atoms are Zr at (0.0000, 0.0000, 0.0000), Sc at (0.0000, 0.0000, 0.5000), Sc at (0.0000, 0.5000, 0.7500) and In at (0.0000, 0.5000, 0.2500).